1.
# Na3Cd3In2Hg

Na3Cd3In2Hg after structural relaxation (PBE, Alexandria via LeMat-Bulk).

Calculated values
ΔH_f (0 K) = -0.109 eV/atom
Space group = No. 189

Cell lengths 8.852, 8.852, 3.312 Å; angles 90.00, 90.00, 120.00 degrees
Element x y z (fractional)
Na: 0.000 0.706 0.000
Na: 0.294 0.294 0.000
Na: 0.706 0.000 0.000
Cd: 0.000 0.363 0.500
Cd: 0.363 0.000 0.500
Cd: 0.637 0.637 0.500
In: 0.333 0.667 0.000
In: 0.667 0.333 0.000
Hg: 0.000 0.000 0.500


2.
# Na5Cd2InHg2

Na5Cd2InHg2 after structural relaxation (PBE, Alexandria via LeMat-Bulk).

Calculated values
ΔH_f (0 K) = -0.074 eV/atom
Space group = No. 127

Cell lengths 10.496, 10.496, 4.992 Å; angles 90.00, 90.00, 90.00 degrees
Element x y z (fractional)
Na: 0.000 0.500 0.000
Na: 0.103 0.185 0.000
Na: 0.185 0.897 0.000
Na: 0.315 0.397 0.000
Na: 0.397 0.685 0.000
Na: 0.500 0.000 0.000
Na: 0.603 0.315 0.000
Na: 0.685 0.603 0.000
Na: 0.815 0.103 0.000
Na: 0.897 0.815 0.000
Cd: 0.162 0.662 0.500
Cd: 0.338 0.162 0.500
Cd: 0.662 0.838 0.500
Cd: 0.838 0.338 0.500
In: 0.000 0.000 0.500
In: 0.500 0.500 0.500
Hg: 0.134 0.366 0.500
Hg: 0.366 0.866 0.500
Hg: 0.634 0.134 0.500
Hg: 0.866 0.634 0.500


3.
# NaCd5In2Hg

NaCd5In2Hg after structural relaxation (PBE, Alexandria via LeMat-Bulk).

Calculated values
ΔH_f (0 K) = -0.013 eV/atom
Space group = No. 36

Cell lengths 9.158, 9.158, 14.613 Å; angles 90.00, 90.00, 158.90 degrees
Element x y z (fractional)
Na: 0.124 0.876 0.500
Na: 0.876 0.124 0.000
Cd: 0.049 0.951 0.304
Cd: 0.123 0.877 0.120
Cd: 0.125 0.875 0.805
Cd: 0.296 0.704 0.468
Cd: 0.466 0.534 0.155
Cd: 0.534 0.466 0.655
Cd: 0.704 0.296 0.968
Cd: 0.875 0.125 0.305
Cd: 0.877 0.123 0.620
Cd: 0.951 0.049 0.804
In: 0.300 0.700 0.812
In: 0.468 0.532 0.460
In: 0.532 0.468 0.960
In: 0.700 0.300 0.312
Hg: 0.289 0.711 0.146
Hg: 0.711 0.289 0.646


4.
# NdCdInHg

NdCdInHg after structural relaxation (PBE, Alexandria via LeMat-Bulk).

Calculated values
ΔH_f (0 K) = -0.344 eV/atom
Space group = No. 216
Energy relative to the lowest polymorph listed for this composition = 0 meV/atom

Cell lengths 7.421, 7.421, 7.421 Å; angles 90.00, 90.00, 90.00 degrees
Element x y z (fractional)
Nd: 0.000 0.000 0.000
Nd: 0.000 0.500 0.500
Nd: 0.500 0.000 0.500
Nd: 0.500 0.500 0.000
Cd: 0.000 0.000 0.500
Cd: 0.000 0.500 0.000
Cd: 0.500 0.000 0.000
Cd: 0.500 0.500 0.500
In: 0.250 0.250 0.750
In: 0.250 0.750 0.250
In: 0.750 0.250 0.250
In: 0.750 0.750 0.750
Hg: 0.250 0.250 0.250
Hg: 0.250 0.750 0.750
Hg: 0.750 0.250 0.750
Hg: 0.750 0.750 0.250


5.
# NdCdInHg

NdCdInHg after structural relaxation (PBE, Alexandria via LeMat-Bulk).

Calculated values
ΔH_f (0 K) = -0.337 eV/atom
Space group = No. 119
Energy relative to the lowest polymorph listed for this composition = 7 meV/atom

Cell lengths 4.839, 4.839, 8.785 Å; angles 90.00, 90.00, 90.00 degrees
Element x y z (fractional)
Nd: 0.000 0.000 0.000
Nd: 0.500 0.500 0.500
Cd: 0.000 0.500 0.750
Cd: 0.500 0.000 0.250
In: 0.000 0.000 0.500
In: 0.500 0.500 0.000
Hg: 0.000 0.500 0.250
Hg: 0.500 0.000 0.750


6.
# NdCd2InHg

NdCd2InHg after structural relaxation (PBE, Alexandria via LeMat-Bulk).

Calculated values
ΔH_f (0 K) = -0.171 eV/atom
Space group = No. 63

Cell lengths 9.849, 9.849, 8.118 Å; angles 90.00, 90.00, 159.02 degrees
Element x y z (fractional)
Nd: 0.098 0.902 0.750
Nd: 0.902 0.098 0.250
Cd: 0.342 0.658 0.567
Cd: 0.342 0.658 0.933
Cd: 0.658 0.342 0.067
Cd: 0.658 0.342 0.433
In: 0.500 0.500 0.000
In: 0.500 0.500 0.500
Hg: 0.260 0.740 0.250
Hg: 0.740 0.260 0.750


7.
# Nd2CdIn3Hg6

Nd2CdIn3Hg6 after structural relaxation (PBE, Alexandria via LeMat-Bulk).

Calculated values
ΔH_f (0 K) = -0.003 eV/atom
Space group = No. 123

Cell lengths 4.643, 4.643, 18.779 Å; angles 90.00, 90.00, 90.00 degrees
Element x y z (fractional)
Nd: 0.000 0.000 0.219
Nd: 0.000 0.000 0.781
Cd: 0.000 0.000 0.000
In: 0.500 0.500 0.201
In: 0.500 0.500 0.500
In: 0.500 0.500 0.799
Hg: 0.000 0.500 0.094
Hg: 0.000 0.500 0.906
Hg: 0.500 0.000 0.094
Hg: 0.500 0.000 0.906
Hg: 0.500 0.500 0.351
Hg: 0.500 0.500 0.649


8.
# Nd4CdInHg2

Nd4CdInHg2 after structural relaxation (PBE, Alexandria via LeMat-Bulk).

Calculated values
ΔH_f (0 K) = -0.428 eV/atom
Space group = No. 166

Cell lengths 9.464, 9.464, 9.464 Å; angles 33.49, 33.49, 33.49 degrees
Element x y z (fractional)
Nd: 0.125 0.125 0.125
Nd: 0.375 0.375 0.375
Nd: 0.625 0.625 0.625
Nd: 0.875 0.875 0.875
Cd: 0.000 0.000 0.000
In: 0.500 0.500 0.500
Hg: 0.251 0.251 0.251
Hg: 0.749 0.749 0.749